A plane-wave DFT calculation with PBE was carried out for Cs2SmHI6 after structural relaxation.

The size of the total moment comes out at 0.0 μB/f.u. For the energy, the calculation gives -3.059 eV per atom. The crystal system is triclinic.

The structure belongs to space group P-1 (No. 2); the cell edges are 8.1526, 8.4315 and 8.4418 Å and the angles 108.41°, 108.55° and 108.71°. Symmetry generates all atoms from Cs at (0.0008, 0.2290, 0.2718), Sm at (0.5000, 0.5000, 0.0000), H at (0.5000, 0.0000, 0.5000), I at (0.0562, 0.3242, 0.8252), I at (0.3957, 0.1350, 0.6343) and I at (0.5001, 0.2756, 0.2228).